This record from Alexandria describes a PBEsol-optimized structure of Hf2IrI. The functional is SCAN.

a b c (Å): 6.7683 6.7683 6.7683
angles (deg): 90.00 90.00 90.00
Closest atoms and distances in Å follow each position.
Space group Fm-3m (No. 225)
One atom of each set of equivalent atoms:
Hf (0.2500, 0.2500, 0.2500) [8 per cell]  4 Ir 2.93, 4 I 2.93
Ir (0.0000, 0.0000, 0.0000) [4 per cell]  8 Hf 2.93
I (0.0000, 0.0000, 0.5000) [4 per cell]  8 Hf 2.93

Results
The uncorrected formation energy is -4 kJ/mol of formula units. As for the total magnetic moment: 0.0000 μB/atom.